Ti8H3C3N | PBE-GGA | relaxed

Unit cell a=5.9833 b=5.9833 c=5.9833 alpha=62.04 beta=62.04 gamma=62.04
Atoms (fractional coordinates):
Ti (0.2443, 0.2443, 0.2443)
Ti (0.2450, 0.7436, 0.7436)
Ti (0.2564, 0.2564, 0.7550)
Ti (0.2564, 0.7550, 0.2564)
Ti (0.7436, 0.2450, 0.7436)
Ti (0.7436, 0.7436, 0.2450)
Ti (0.7550, 0.2564, 0.2564)
Ti (0.7557, 0.7557, 0.7557)
H (0.0000, 0.5000, 0.5000)
H (0.5000, 0.0000, 0.5000)
H (0.5000, 0.5000, 0.0000)
C (0.0000, 0.0000, 0.5000)
C (0.0000, 0.5000, 0.0000)
C (0.5000, 0.0000, 0.0000)
N (0.5000, 0.5000, 0.5000)

Output
Electronic total energy ... -121.16 eV/cell
Density of states at the Fermi level ... 0.805 states/eV per atom